1.
Here is a geometry-optimized Nd2AsP structure from Alexandria. Energies are from PBE.

Lattice parameters (Å, degrees): 4.1662 4.1662 21.6656 90.00 90.00 120.00
Closest atoms and distances in Å follow each position.
Sites, in units of the cell vectors:
Nd: 0.0000 0.0000 0.0000  3 As 2.99, 3 P 3.00
Nd: 0.0000 0.0000 0.1676  3 As 3.01, 3 P 3.03
Nd: 0.3333 0.6667 0.6667  3 As 2.99, 3 P 3.00
Nd: 0.3333 0.6667 0.8342  3 As 3.01, 3 P 3.03
Nd: 0.6667 0.3333 0.3333  3 As 2.99, 3 P 3.00
Nd: 0.6667 0.3333 0.5009  3 As 3.01, 3 P 3.03
As: 0.0000 0.0000 0.5846  6 Nd 2.99-3.01
As: 0.3333 0.6667 0.2513  6 Nd 2.99-3.01
As: 0.6667 0.3333 0.9179  6 Nd 2.99-3.01
P: 0.0000 0.0000 0.4160  6 Nd 3.00-3.03
P: 0.3333 0.6667 0.0827  6 Nd 3.00-3.03
P: 0.6667 0.3333 0.7494  6 Nd 3.00-3.03

Output
Energy ... -6.247 eV per atom
Total magnetic moment ... 0.0 μB per formula unit
Energy relative to the lowest polymorph listed for this composition ... 175 meV/atom



2.
Here is a geometry-optimized Nd4AsP3 structure from Alexandria. Energies are from PBE.

Lattice parameters (Å, degrees): 5.9304 5.9304 5.9304 90.00 90.00 90.00
Closest atoms and distances in Å follow each position.
Sites, in units of the cell vectors:
Nd: 0.0000 0.0000 0.0000  6 P 2.97
Nd: 0.0000 0.5000 0.5000  2 As 2.97, 4 P 2.97
Nd: 0.5000 0.0000 0.5000  2 As 2.97, 4 P 2.97
Nd: 0.5000 0.5000 0.0000  2 As 2.97, 4 P 2.97
As: 0.5000 0.5000 0.5000  6 Nd 2.97
P: 0.0000 0.0000 0.5000  6 Nd 2.97
P: 0.0000 0.5000 0.0000  6 Nd 2.97
P: 0.5000 0.0000 0.0000  6 Nd 2.97

Output
Energy ... -6.522 eV per atom
Total magnetic moment ... 0.0 μB per formula unit



3.
Here is a geometry-optimized Nd4As2P structure from Alexandria. Energies are from PBE.

Lattice parameters (Å, degrees): 7.7721 7.7721 7.7721 109.76 109.76 108.89
Closest atoms and distances in Å follow each position.
Sites, in units of the cell vectors:
Nd: 0.1169 0.2391 0.7448  1 P 2.89, 2 As 2.96-2.98
Nd: 0.1221 0.7444 0.7552  1 P 2.89, 2 As 2.96-2.98
Nd: 0.2556 0.0109 0.3777  1 P 2.89, 2 As 2.96-2.98
Nd: 0.4944 0.3721 0.2552  1 P 2.89, 2 As 2.96-2.98
Nd: 0.6279 0.8831 0.1223  1 P 2.89, 2 As 2.96-2.98
Nd: 0.6331 0.8779 0.6223  1 P 2.89, 2 As 2.96-2.98
Nd: 0.7609 0.5056 0.8777  1 P 2.89, 2 As 2.96-2.98
Nd: 0.9891 0.3669 0.2448  1 P 2.89, 2 As 2.96-2.98
As: 0.2543 0.6250 0.1293  8 Nd 2.96-3.28
As: 0.3750 0.5043 0.6293  8 Nd 2.96-3.28
As: 0.4957 0.1250 0.8707  8 Nd 2.96-3.28
As: 0.8750 0.7457 0.3707  8 Nd 2.96-3.28
P: 0.0000 0.0000 0.0000  4 Nd 2.89
P: 0.7500 0.2500 0.5000  4 Nd 2.89

Output
Energy ... -6.100 eV per atom
Total magnetic moment ... 0.0 μB per formula unit



4.
Here is a geometry-optimized Nd4AsP2 structure from Alexandria. Energies are from PBE.

Lattice parameters (Å, degrees): 7.1147 7.1147 13.6782 90.00 90.00 146.09
Closest atoms and distances in Å follow each position.
Sites, in units of the cell vectors:
Nd: 0.0000 0.0000 0.0000  4 P 2.92
Nd: 0.0000 0.0000 0.5000  4 P 2.92
Nd: 0.2719 0.7281 0.6205  3 P 2.79-2.88
Nd: 0.2719 0.7281 0.8795  3 P 2.79-2.88
Nd: 0.4514 0.5486 0.2500  2 P 2.83, 2 As 2.95
Nd: 0.5486 0.4514 0.7500  2 P 2.83, 2 As 2.95
Nd: 0.7281 0.2719 0.1205  3 P 2.79-2.88
Nd: 0.7281 0.2719 0.3795  3 P 2.79-2.88
As: 0.1058 0.8942 0.2500  6 Nd 2.95-3.20
As: 0.8942 0.1058 0.7500  6 Nd 2.95-3.20
P: 0.3627 0.6373 0.0628  6 Nd 2.79-2.92
P: 0.3627 0.6373 0.4372  6 Nd 2.79-2.92
P: 0.6373 0.3627 0.5628  6 Nd 2.79-2.92
P: 0.6373 0.3627 0.9372  6 Nd 2.79-2.92

Output
Energy ... -6.236 eV per atom
Total magnetic moment ... 0.5 μB per formula unit



5.
Here is a geometry-optimized Nd5As4P structure from Alexandria. Energies are from PBE.

Lattice parameters (Å, degrees): 7.3665 7.3665 7.3665 99.59 99.59 131.81
Closest atoms and distances in Å follow each position.
Sites, in units of the cell vectors:
Nd: 0.0000 0.0000 0.0000  4 As 3.01, 2 P 3.01
Nd: 0.2040 0.5986 0.8026  1 P 2.97, 5 As 3.01-3.04
Nd: 0.4014 0.2040 0.6054  1 P 2.97, 5 As 3.01-3.04
Nd: 0.5986 0.7960 0.3946  1 P 2.97, 5 As 3.01-3.04
Nd: 0.7960 0.4014 0.1974  1 P 2.97, 5 As 3.01-3.04
As: 0.0990 0.3001 0.3991  6 Nd 3.01-3.04
As: 0.3001 0.9010 0.2011  6 Nd 3.01-3.04
As: 0.6999 0.0990 0.7989  6 Nd 3.01-3.04
As: 0.9010 0.6999 0.6009  6 Nd 3.01-3.04
P: 0.5000 0.5000 0.0000  6 Nd 2.97-3.01

Output
Energy ... -6.301 eV per atom
Total magnetic moment ... 0.0 μB per formula unit



6.
Here is a geometry-optimized Nd8As6P structure from Alexandria. Energies are from PBE.

Lattice parameters (Å, degrees): 10.4001 10.4001 4.5180 90.00 90.00 120.00
Closest atoms and distances in Å follow each position.
Sites, in units of the cell vectors:
Nd: 0.0298 0.7187 0.2387  4 As 2.89-3.14
Nd: 0.2813 0.3111 0.2387  4 As 2.89-3.14
Nd: 0.3111 0.0298 0.7613  4 As 2.89-3.14
Nd: 0.3333 0.6667 0.7533  6 As 3.08-3.10
Nd: 0.6667 0.3333 0.2467  6 As 3.08-3.10
Nd: 0.6889 0.9702 0.2387  4 As 2.89-3.14
Nd: 0.7187 0.6889 0.7613  4 As 2.89-3.14
Nd: 0.9702 0.2813 0.7613  4 As 2.89-3.14
As: 0.1219 0.4733 0.2569  6 Nd 2.89-3.14
As: 0.3513 0.8781 0.2569  6 Nd 2.89-3.14
As: 0.4733 0.3513 0.7431  6 Nd 2.89-3.14
As: 0.5267 0.6487 0.2569  6 Nd 2.89-3.14
As: 0.6487 0.1219 0.7431  6 Nd 2.89-3.14
As: 0.8781 0.5267 0.7431  6 Nd 2.89-3.14
P: 0.0000 0.0000 0.0000  6 Nd 3.27

Output
Energy ... -5.844 eV per atom
Total magnetic moment ... 0.0 μB per formula unit



7.
Here is a geometry-optimized Nd6As3P2Pb structure from Alexandria. Energies are from PBE.

Lattice parameters (Å, degrees): 9.5194 9.5194 8.6498 101.92 101.92 25.85
Closest atoms and distances in Å follow each position.
Sites, in units of the cell vectors:
Nd: 0.0045 0.0045 0.2707  3 As 2.92-3.07, 1 P 2.98, 2 Pb 3.15
Nd: 0.3255 0.3255 0.9029  3 As 2.93-3.09, 2 P 3.00, 1 Pb 3.17
Nd: 0.3308 0.3308 0.4191  3 P 2.94-2.99, 3 As 3.07
Nd: 0.6692 0.6692 0.5809  3 P 2.94-2.99, 3 As 3.07
Nd: 0.6745 0.6745 0.0971  3 As 2.93-3.09, 2 P 3.00, 1 Pb 3.17
Nd: 0.9955 0.9955 0.7293  3 As 2.92-3.07, 1 P 2.98, 2 Pb 3.15
As: 0.1642 0.1642 0.8344  6 Nd 2.93-3.09
As: 0.5000 0.5000 0.5000  6 Nd 2.92-3.07
As: 0.8358 0.8358 0.1656  6 Nd 2.93-3.09
P: 0.1686 0.1686 0.3379  6 Nd 2.94-3.00
P: 0.8314 0.8314 0.6621  6 Nd 2.94-3.00
Pb: 0.5000 0.5000 0.0000  6 Nd 3.15-3.17

Output
Energy ... -6.062 eV per atom
Total magnetic moment ... 0.0 μB per formula unit



8.
Here is a geometry-optimized Nd6As2P3Pb structure from Alexandria. Energies are from PBE.

Lattice parameters (Å, degrees): 9.5391 9.5391 8.6238 103.44 103.44 25.61
Closest atoms and distances in Å follow each position.
Sites, in units of the cell vectors:
Nd: 0.0014 0.0014 0.2273  3 P 2.88-2.99, 1 As 3.05, 2 Pb 3.17
Nd: 0.3250 0.3250 0.4155  3 P 2.87-3.01, 2 As 3.04, 1 Pb 3.16
Nd: 0.3335 0.3335 0.9137  3 P 3.00-3.01, 3 As 3.01-3.04
Nd: 0.6665 0.6665 0.0863  3 P 3.00-3.01, 3 As 3.01-3.04
Nd: 0.6750 0.6750 0.5845  3 P 2.87-3.01, 2 As 3.04, 1 Pb 3.16
Nd: 0.9986 0.9986 0.7727  3 P 2.88-2.99, 1 As 3.05, 2 Pb 3.17
As: 0.1667 0.1667 0.8336  6 Nd 3.01-3.05
As: 0.8333 0.8333 0.1664  6 Nd 3.01-3.05
P: 0.1664 0.1664 0.3324  6 Nd 2.87-3.01
P: 0.5000 0.5000 0.0000  6 Nd 2.88-3.01
P: 0.8336 0.8336 0.6676  6 Nd 2.87-3.01
Pb: 0.5000 0.5000 0.5000  6 Nd 3.16-3.17

Output
Energy ... -6.132 eV per atom
Total magnetic moment ... 0.0 μB per formula unit



9.
Here is a geometry-optimized PmNdAsP structure from Alexandria. Energies are from PBE.

Lattice parameters (Å, degrees): 4.2055 4.2055 5.9408 90.00 90.00 90.00
Closest atoms and distances in Å follow each position.
Sites, in units of the cell vectors:
Pm: 0.0000 0.0000 0.0000  2 As 2.97, 4 P 2.97
Nd: 0.5000 0.5000 0.5000  2 P 2.97, 4 As 2.97
As: 0.0000 0.0000 0.5000  2 Pm 2.97, 4 Nd 2.97
P: 0.5000 0.5000 0.0000  2 Nd 2.97, 4 Pm 2.97

Output
Energy ... -6.420 eV per atom
Total magnetic moment ... 0.0 μB per formula unit



10.
Here is a geometry-optimized NdAs2P2Pt7 structure from Alexandria. Energies are from PBE.

Lattice parameters (Å, degrees): 3.9436 3.9436 14.9607 97.43 97.43 90.01
Closest atoms and distances in Å follow each position.
Sites, in units of the cell vectors:
Nd: 0.0000 0.0000 0.0000  12 Pt 2.79-3.05
As: 0.2179 0.2179 0.4282  2 Pt 2.48-2.77
As: 0.7821 0.7821 0.5718  2 Pt 2.48-2.77
P: 0.3782 0.3782 0.7522  5 Pt 2.28-2.37
P: 0.6218 0.6218 0.2478  5 Pt 2.28-2.37
Pt: 0.0779 0.5779 0.1584  2 P 2.37
Pt: 0.3030 0.3030 0.5969  1 P 2.28, 1 As 2.48
Pt: 0.4221 0.9221 0.8416  2 P 2.37
Pt: 0.5000 0.5000 0.0000  4 Nd 2.79, 8 Pt 3.05
Pt: 0.5779 0.0779 0.1584  2 P 2.37
Pt: 0.6970 0.6970 0.4031  1 P 2.28, 1 As 2.48
Pt: 0.9221 0.4221 0.8416  2 P 2.37

Output
Energy ... -6.135 eV per atom
Total magnetic moment ... 0.0 μB per formula unit



11.
Here is a geometry-optimized Nd2AsPPt6 structure from Alexandria. Energies are from PBE.

Lattice parameters (Å, degrees): 5.6017 8.3605 8.4946 90.00 90.00 90.00
Closest atoms and distances in Å follow each position.
Sites, in units of the cell vectors:
Nd: 0.2500 0.0047 0.2371  11 Pt 3.03-3.39
Nd: 0.2500 0.4953 0.2371  11 Pt 3.03-3.39
Nd: 0.7500 0.5047 0.7629  11 Pt 3.03-3.39
Nd: 0.7500 0.9953 0.7629  11 Pt 3.03-3.39
As: 0.2500 0.7500 0.7866  4 Pt 2.47
As: 0.7500 0.2500 0.2134  4 Pt 2.47
P: 0.2500 0.2500 0.7532  6 Pt 2.34-2.51
P: 0.7500 0.7500 0.2468  6 Pt 2.34-2.51
Pt: 0.0022 0.7500 0.4916  1 P 2.51, 5 Pt 2.74-2.78
Pt: 0.0040 0.2500 0.9761  1 P 2.34, 1 As 2.47
Pt: 0.2500 0.5031 0.6270  1 P 2.37, 1 As 2.47
Pt: 0.2500 0.9969 0.6270  1 P 2.37, 1 As 2.47
Pt: 0.4960 0.2500 0.9761  1 P 2.34, 1 As 2.47
Pt: 0.4978 0.7500 0.4916  1 P 2.51, 5 Pt 2.74-2.78
Pt: 0.5022 0.2500 0.5084  1 P 2.51, 5 Pt 2.74-2.78
Pt: 0.5040 0.7500 0.0239  1 P 2.34, 1 As 2.47
Pt: 0.7500 0.0031 0.3730  1 P 2.37, 1 As 2.47
Pt: 0.7500 0.4969 0.3730  1 P 2.37, 1 As 2.47
Pt: 0.9960 0.7500 0.0239  1 P 2.34, 1 As 2.47
Pt: 0.9978 0.2500 0.5084  1 P 2.51, 5 Pt 2.74-2.78

Output
Energy ... -6.482 eV per atom
Total magnetic moment ... 0.0 μB per formula unit



12.
Here is a geometry-optimized NdPuAsP structure from Alexandria. Energies are from PBE.

Lattice parameters (Å, degrees): 4.1475 4.1475 5.8653 90.00 90.00 90.00
Closest atoms and distances in Å follow each position.
Sites, in units of the cell vectors:
Nd: 0.0000 0.0000 0.0000  2 P 2.93, 4 As 2.93
Pu: 0.5000 0.5000 0.5000  2 As 2.93, 4 P 2.93
As: 0.5000 0.5000 0.0000  2 Pu 2.93, 4 Nd 2.93
P: 0.0000 0.0000 0.5000  2 Nd 2.93, 4 Pu 2.93

Output
Energy ... -8.554 eV per atom
Total magnetic moment ... 4.9 μB per formula unit



| no. | energy relative to the elements (eV per atom) |
| --- | --- |
| 1 | -1.35 |
| 2 | -1.53 |
| 3 | -1.27 |
| 4 | -1.30 |
| 5 | -1.52 |
| 6 | -1.08 |
| 7 | -1.30 |
| 8 | -1.31 |
| 9 | -1.53 |
| 10 | -0.54 |
| 11 | -0.90 |
| 12 | -1.26 |